# 1
## MnReNi2Pd (PBE)

Data for an optimized crystal structure of MnReNi2Pd. Values from VASP.

energy: -6.154 eV/atom
total magnetic moment: 1.495 μB/atom
DFT formation energy: 1.52 eV per atom
D(E_F): 1.65 states/eV/atom

Structure (Quantum ESPRESSO input):
```
&SYSTEM
  ibrav = 0, nat = 5, ntyp = 4
/
ATOMIC_SPECIES
Re 186.21 Re.upf
Mn 54.94 Mn.upf
Pd 106.42 Pd.upf
Ni 58.69 Ni.upf
CELL_PARAMETERS angstrom
4.2424 0.0000 0.0000
0.0000 4.2424 0.0000
0.0000 0.0000 4.5410
ATOMIC_POSITIONS crystal
Re 0.5000 0.5000 0.5000
Mn 0.0000 0.0000 0.0000
Pd 0.0000 0.0000 0.5000
Ni 0.0000 0.5000 0.0000
Ni 0.5000 0.0000 0.0000
```


# 2
## MnNiPd2Rh (PBE)

Data for an optimized crystal structure of MnNiPd2Rh. Values from VASP.

energy: -5.619 eV/atom
total magnetic moment: 1.038 μB/atom
DFT formation energy: 0.92 eV per atom
D(E_F): 1.32 states/eV/atom

Structure (Quantum ESPRESSO input):
```
&SYSTEM
  ibrav = 0, nat = 5, ntyp = 4
/
ATOMIC_SPECIES
Ni 58.69 Ni.upf
Mn 54.94 Mn.upf
Rh 102.91 Rh.upf
Pd 106.42 Pd.upf
CELL_PARAMETERS angstrom
-0.1925 4.0124 -2.0376
-3.1989 1.1913 2.6481
3.0213 1.6267 2.9179
ATOMIC_POSITIONS crystal
Ni 0.0000 0.0000 0.0000
Mn 0.0000 0.5000 0.0000
Rh 0.5000 0.5000 0.5000
Pd 0.0000 0.0000 0.5000
Pd 0.5000 0.0000 0.0000
```


# 3
## MnNiPdS4 (PBE)

Data for an optimized crystal structure of MnNiPdS4. Values from VASP.

energy: -5.657 eV/atom
total magnetic moment: 0.331 μB/atom
uncorrected formation energy: -0.4211 eV/atom
D(E_F): 0.47 states/eV/atom

Structure (Quantum ESPRESSO input):
```
&SYSTEM
  ibrav = 0, nat = 14, ntyp = 4
/
ATOMIC_SPECIES
Mn 54.94 Mn.upf
Ni 58.69 Ni.upf
Pd 106.42 Pd.upf
S 32.06 S.upf
CELL_PARAMETERS angstrom
-2.9365 6.0909 0.6146
-5.0996 0.8639 4.5782
1.1976 3.7918 5.6480
ATOMIC_POSITIONS crystal
Mn 0.5000 0.0000 0.5000
Mn 0.0000 0.0000 0.5000
Ni 0.0000 0.0000 0.0000
Ni 0.0000 0.5000 0.5000
Pd 0.6277 0.6223 0.1223
Pd 0.3723 0.3777 0.8777
S 0.7647 0.7600 0.7106
S 0.2353 0.7894 0.7400
S 0.7647 0.2106 0.2600
S 0.2353 0.2400 0.2894
S 0.2089 0.7636 0.2636
S 0.7639 0.7636 0.2636
S 0.2361 0.2364 0.7364
S 0.7911 0.2364 0.7364
```


# 4
## MnNi7Sb2Pd2 (PBE)

Data for an optimized crystal structure of MnNi7Sb2Pd2. Values from VASP.

energy: -5.715 eV/atom
total magnetic moment: 0.455 μB/atom
uncorrected formation energy: -0.0257 eV/atom
D(E_F): 1.16 states/eV/atom

Structure (Quantum ESPRESSO input):
```
&SYSTEM
  ibrav = 0, nat = 12, ntyp = 4
/
ATOMIC_SPECIES
Mn 54.94 Mn.upf
Ni 58.69 Ni.upf
Sb 121.76 Sb.upf
Pd 106.42 Pd.upf
CELL_PARAMETERS angstrom
3.4707 -0.0020 0.0228
0.0022 3.4707 0.0228
1.6626 1.6605 14.1148
ATOMIC_POSITIONS crystal
Mn 0.0000 0.0000 0.0000
Ni 0.5000 0.5000 0.0000
Ni 0.2700 0.2700 0.4594
Ni 0.7300 0.7300 0.5406
Ni 0.9357 0.4357 0.1269
Ni 0.4357 0.9357 0.1269
Ni 0.5643 0.0643 0.8731
Ni 0.0643 0.5643 0.8731
Sb 0.8162 0.8162 0.3641
Sb 0.1838 0.1838 0.6359
Pd 0.6352 0.6352 0.7332
Pd 0.3648 0.3648 0.2668
```


# 5
## MnNiPd2Se (PBE)

Data for an optimized crystal structure of MnNiPd2Se. Values from VASP.

energy: -4.939 eV/atom
total magnetic moment: 0.920 μB/atom
uncorrected formation energy: 0.8253 eV/atom
D(E_F): 1.28 states/eV/atom

Structure (Quantum ESPRESSO input):
```
&SYSTEM
  ibrav = 0, nat = 5, ntyp = 4
/
ATOMIC_SPECIES
Ni 58.69 Ni.upf
Mn 54.94 Mn.upf
Se 78.96 Se.upf
Pd 106.42 Pd.upf
CELL_PARAMETERS angstrom
-0.5939 -0.0745 4.6612
-3.0535 -3.2526 -0.4411
3.3891 -3.2333 0.3801
ATOMIC_POSITIONS crystal
Ni 0.5000 0.5000 0.5000
Mn 0.0000 0.0000 0.0000
Se 0.0000 0.5000 0.0000
Pd 0.0000 0.0000 0.5000
Pd 0.5000 0.0000 0.0000
```